Here is an optimized crystal structure of PuAg3Br2F6 from the Alexandria database. Energies are from PBE-GGA.

Cell: 5.057 7.200 8.122 Å, 116.31 94.56 90.00°
Last column: magnetic moment on the atom in μB.
Sites, in units of the cell vectors:
Ag 0.500 0.000 0.500  -0.04
Ag 0.500 0.500 0.500  -0.04
Ag 0.000 0.500 0.000  -0.07
F 0.317 0.124 0.248  -0.05
F 0.683 0.876 0.752  -0.05
F 0.750 0.844 0.110  -0.05
F 0.250 0.156 0.890  -0.05
F 0.750 0.266 0.110  -0.05
F 0.250 0.734 0.890  -0.05
Pu 0.500 0.000 0.000  3.47
Br 0.176 0.681 0.363  -0.03
Br 0.824 0.319 0.637  -0.03

Its uncorrected formation energy is -1.870 eV/atom. The volume comes out at 264 Å³/cell. The spin magnetization comes out at 2.979 Bohr magnetons per cell.



Here is an optimized crystal structure of PuAg3Br6F2 from the Alexandria database. Energies are from PBE-GGA.

Cell: 6.713 7.725 7.674 Å, 120.22 107.71 90.00°
Last column: magnetic moment on the atom in μB.
Sites, in units of the cell vectors:
F 0.725 0.357 0.715  -0.04
F 0.275 0.643 0.285  -0.04
Br 0.761 0.863 0.237  -0.13
Br 0.239 0.137 0.763  -0.13
Br 0.239 0.626 0.763  -0.13
Br 0.243 0.127 0.253  -0.11
Br 0.761 0.374 0.237  -0.13
Br 0.757 0.873 0.747  -0.11
Ag 0.500 0.500 0.500  -0.10
Ag 0.000 0.500 0.000  -0.15
Ag 0.500 0.000 0.500  -0.10
Pu 0.500 0.000 0.000  4.45

Its uncorrected formation energy is -0.913 eV/atom. The volume comes out at 322 Å³/cell. The spin magnetization comes out at 3.145 Bohr magnetons per cell.



Here is an optimized crystal structure of Rb3Ag2Br2F4 from the Alexandria database. Energies are from PBE-GGA.

Cell: 4.622 4.622 12.974 Å, 100.26 100.26 90.00°
Sites, in units of the cell vectors:
Br 0.693 0.693 0.387
Br 0.307 0.307 0.613
F 0.573 0.073 0.145
F 0.073 0.573 0.145
F 0.427 0.927 0.855
F 0.927 0.427 0.855
Rb 0.160 0.160 0.319
Rb 0.840 0.840 0.681
Rb 0.000 0.000 0.000
Ag 0.584 0.584 0.168
Ag 0.416 0.416 0.832

Its uncorrected formation energy is -1.666 eV/atom. The volume comes out at 268 Å³/cell. The spin magnetization comes out at 0.000 Bohr magnetons per cell.



Here is an optimized crystal structure of RbAg2BrF2 from the Alexandria database. Energies are from PBE-GGA.

Cell: 5.973 5.482 9.418 Å, 102.31 90.00 90.00°
Sites, in units of the cell vectors:
Rb 0.750 0.311 0.586
Rb 0.250 0.689 0.414
F 0.250 0.153 0.341
F 0.250 0.615 0.685
F 0.750 0.385 0.315
F 0.750 0.847 0.659
Ag 0.499 0.826 0.857
Ag 0.501 0.174 0.143
Ag 0.999 0.174 0.143
Ag 0.001 0.826 0.857
Br 0.750 0.718 0.073
Br 0.250 0.282 0.927

Its uncorrected formation energy is -1.283 eV/atom. The volume comes out at 301 Å³/cell. The spin magnetization comes out at 0.000 Bohr magnetons per cell.



Here is an optimized crystal structure of RbAg2Br2F from the Alexandria database. Energies are from PBE-GGA.

Cell: 5.862 8.416 8.406 Å, 109.57 90.00 90.00°
Sites, in units of the cell vectors:
F 0.250 0.060 0.940
F 0.750 0.940 0.060
Ag 0.500 0.816 0.815
Ag 0.000 0.816 0.815
Ag 0.000 0.184 0.185
Ag 0.500 0.184 0.185
Br 0.250 0.145 0.432
Br 0.750 0.855 0.568
Br 0.250 0.569 0.854
Br 0.750 0.431 0.146
Rb 0.250 0.708 0.292
Rb 0.750 0.292 0.708

Its uncorrected formation energy is -1.016 eV/atom. The volume comes out at 391 Å³/cell. The spin magnetization comes out at 0.000 Bohr magnetons per cell.



Here is an optimized crystal structure of Rb2AgBr3F from the Alexandria database. Energies are from PBE-GGA.

Cell: 4.736 5.298 9.475 Å, 106.23 104.47 90.00°
Sites, in units of the cell vectors:
Rb 0.639 0.639 0.278
Rb 0.361 0.361 0.722
Br 0.000 0.500 0.000
Br 0.842 0.842 0.685
Br 0.158 0.158 0.315
F 0.500 0.000 0.000
Ag 0.000 0.000 0.000

Its uncorrected formation energy is -1.317 eV/atom. The volume comes out at 220 Å³/cell. The spin magnetization comes out at 0.000 Bohr magnetons per cell.



Here is an optimized crystal structure of Rb2AgBr2F2 from the Alexandria database. Energies are from PBE-GGA.

Cell: 4.793 4.793 8.867 Å, 105.68 105.68 90.00°
Sites, in units of the cell vectors:
Br 0.841 0.841 0.682
Br 0.159 0.159 0.318
Rb 0.387 0.387 0.774
Rb 0.613 0.613 0.226
F 0.000 0.500 0.000
F 0.500 0.000 0.000
Ag 0.000 0.000 0.000

Its uncorrected formation energy is -1.595 eV/atom. The volume comes out at 188 Å³/cell. The spin magnetization comes out at 0.000 Bohr magnetons per cell.



Here is an optimized crystal structure of RbAgBrF from the Alexandria database. Energies are from PBE-GGA.

Cell: 4.531 6.692 7.972 Å, 145.87 106.51 90.00°
Sites, in units of the cell vectors:
Br 0.960 0.845 0.919
Ag 0.627 0.049 0.254
F 0.623 0.698 0.247
Rb 0.290 0.908 0.580

Its uncorrected formation energy is -1.485 eV/atom. The volume comes out at 117 Å³/cell. The spin magnetization comes out at 0.000 Bohr magnetons per cell.